1.
An optimized crystal structure of LaSbW2. Source: the Alexandria database, functional PBE.

Computed properties:
formation energy from raw total energies: 939 meV per atom

Geometry as POSCAR:
```
LaSbW2
1.0
3.1612 0.0000 0.0000
-1.5806 2.7376 0.0000
0.0000 0.0000 29.2725
La Sb W
3 3 6
Direct
0.0000 0.0000 0.0000
0.3333 0.6667 0.6667
0.6667 0.3333 0.3333
0.0000 0.0000 0.5000
0.3333 0.6667 0.1667
0.6667 0.3333 0.8333
0.0000 0.0000 0.2386
0.0000 0.0000 0.7614
0.3333 0.6667 0.4280
0.3333 0.6667 0.9053
0.6667 0.3333 0.0947
0.6667 0.3333 0.5720
```


2.
An optimized crystal structure of Zr2OsRu. Source: the Alexandria database, functional PBE.

Computed properties:
energy of formation from the pure elements: 0.1545 eV/atom

Geometry as POSCAR:
```
Zr2OsRu
1.0
7.1798 0.0000 0.0000
0.0000 7.1798 0.0000
0.0000 0.0000 5.8550
Zr Os Ru
8 4 4
Direct
0.2469 0.7500 0.1250
0.2500 0.2469 0.8750
0.2500 0.2531 0.3750
0.2531 0.7500 0.6250
0.7469 0.2500 0.6250
0.7500 0.7469 0.3750
0.7500 0.7531 0.8750
0.7531 0.2500 0.1250
0.0000 0.0000 0.5000
0.0000 0.5000 0.7500
0.5000 0.0000 0.2500
0.5000 0.5000 0.0000
0.0000 0.0000 0.0000
0.0000 0.5000 0.2500
0.5000 0.0000 0.7500
0.5000 0.5000 0.5000
```


3.
An optimized crystal structure of YTiS2. Source: the Alexandria database, functional PBE.

Computed properties:
polymorph energy (0 for the lowest one): 59 kJ/mol of formula units
formation energy from raw total energies: -1141 meV per atom

Geometry as POSCAR:
```
YTiS2
1.0
3.5384 0.0000 0.0000
-1.7692 3.0643 0.0000
0.0000 0.0000 24.6592
Y Ti S
3 3 6
Direct
0.0000 0.0000 0.0000
0.3333 0.6667 0.6667
0.6667 0.3333 0.3333
0.0000 0.0000 0.5000
0.3333 0.6667 0.1667
0.6667 0.3333 0.8333
0.0000 0.0000 0.1095
0.0000 0.0000 0.8905
0.3333 0.6667 0.5572
0.3333 0.6667 0.7761
0.6667 0.3333 0.2239
0.6667 0.3333 0.4428
```


4.
An optimized crystal structure of Y4MnNi. Source: the Alexandria database, functional PBE.

Computed properties:
energy of formation from the pure elements: 0.8675 eV/atom

Geometry as POSCAR:
```
Y4MnNi
1.0
0.0000 4.3453 4.3453
4.3453 0.0000 4.3453
4.3453 4.3453 0.0000
Y Mn Ni
4 1 1
Direct
0.1249 0.1249 0.1249
0.1249 0.1249 0.6252
0.1249 0.6252 0.1249
0.6252 0.1249 0.1249
0.5000 0.5000 0.5000
0.7500 0.7500 0.7500
```


5.
An optimized crystal structure of CsAgRh2. Source: the Alexandria database, functional PBE.

Computed properties:
energy of formation from the pure elements: 1.0711 eV/atom

Geometry as POSCAR:
```
CsAgRh2
1.0
6.8705 0.0000 0.0000
0.0000 6.8705 0.0000
0.0000 0.0000 6.8705
Cs Ag Rh
4 4 8
Direct
0.0000 0.0000 0.0000
0.0000 0.5000 0.5000
0.5000 0.0000 0.5000
0.5000 0.5000 0.0000
0.0000 0.0000 0.5000
0.0000 0.5000 0.0000
0.5000 0.0000 0.0000
0.5000 0.5000 0.5000
0.2500 0.2500 0.2500
0.2500 0.2500 0.7500
0.2500 0.7500 0.2500
0.2500 0.7500 0.7500
0.7500 0.2500 0.2500
0.7500 0.2500 0.7500
0.7500 0.7500 0.2500
0.7500 0.7500 0.7500
```


6.
An optimized crystal structure of CsAlSbRh2. Source: the Alexandria database, functional PBE.

Computed properties:
formation energy from raw total energies: 836 meV per atom

Geometry as POSCAR:
```
CsAlSbRh2
1.0
4.7601 0.0000 0.0000
0.0000 4.7601 0.0000
0.0000 0.0000 5.7709
Cs Al Sb Rh
1 1 1 2
Direct
0.0000 0.0000 0.0000
0.0000 0.0000 0.5000
0.5000 0.5000 0.0000
0.0000 0.5000 0.5000
0.5000 0.0000 0.5000
```